{
  "formula": "LaZnCrSnO6",
  "functional": "GGA+U",
  "state": "optimized geometry",
  "cell": [[5.454, 0.000, 0.000], [0.000, 5.628, 0.000], [-5.422, 0.000, 7.918]],
  "species": ["La", "La", "Zn", "Zn", "Cr", "Cr", "Sn", "Sn", "O", "O", "O", "O", "O", "O", "O", "O", "O", "O", "O", "O"],
  "frac_coords": [[0.000, 0.207, 0.000], [0.000, 0.793, 0.500], [0.538, 0.278, 0.525], [0.538, 0.722, 0.025], [0.260, 0.247, 0.750], [0.260, 0.753, 0.250], [0.762, 0.264, 0.252], [0.762, 0.736, 0.752], [0.142, 0.217, 0.501], [0.142, 0.783, 0.001], [0.416, 0.306, 0.993], [0.416, 0.694, 0.493], [0.505, 0.074, 0.315], [0.505, 0.926, 0.815], [0.603, 0.426, 0.784], [0.603, 0.574, 0.284], [0.892, 0.050, 0.691], [0.892, 0.950, 0.191], [0.984, 0.480, 0.181], [0.984, 0.520, 0.681]],
  "final_energy_ev_per_atom": -6.80,
  "volume_a3_per_atom": 12.2,
  "space_group": "No. 7"
}